[1]
VASP calculation (GGA-PBE) on crystalline SrPuSnAu at its relaxed geometry.

Summary:
Symmetry: F-43m, No. 216
E_form, eV/atom: -0.443
DOS(E_F), states/eV per cell: 13.4
DFT total energy, eV/atom: -6.2662

a = 5.426 Å, b = 5.426 Å, c = 5.426 Å
α = 60.00°, β = 60.00°, γ = 60.00°
Last column: magnetic moment on the atom in μB.
Atoms (fractional coordinates):
Au 0.750 0.750 0.750  -0.03
Sr 0.500 0.500 0.500  -0.01
Sn 0.250 0.250 0.250  -0.13
Pu 0.000 0.000 0.000  5.34



[2]
VASP calculation (GGA-PBE) on crystalline Pu2ThSn2Au2 at its relaxed geometry.

Summary:
Symmetry: R-3m, No. 166
E_form, eV/atom: -0.401
DOS(E_F), states/eV per cell: 14.9
DFT total energy, eV/atom: -7.6355

a = 4.797 Å, b = 4.797 Å, c = 9.187 Å
α = 74.87°, β = 74.87°, γ = 60.00°
Last column: magnetic moment on the atom in μB.
Atoms (fractional coordinates):
Sn 0.267 0.267 0.199  -0.02
Sn 0.733 0.733 0.801  -0.02
Pu 0.859 0.859 0.424  5.49
Pu 0.141 0.141 0.576  5.49
Au 0.569 0.569 0.292  0.01
Au 0.431 0.431 0.708  0.01
Th 0.000 0.000 0.000  0.11



[3]
VASP calculation (GGA-PBE) on crystalline PuTlSnAu at its relaxed geometry.

Summary:
Symmetry: F-43m, No. 216
E_form, eV/atom: -0.150
DOS(E_F), states/eV per cell: 12.7
DFT total energy, eV/atom: -6.1448

a = 5.207 Å, b = 5.207 Å, c = 5.207 Å
α = 60.00°, β = 60.00°, γ = 60.00°
Last column: magnetic moment on the atom in μB.
Atoms (fractional coordinates):
Pu 0.250 0.250 0.250  5.44
Au 0.000 0.000 0.000  -0.01
Sn 0.500 0.500 0.500  0.05
Tl 0.750 0.750 0.750  0.01